Record 1
The following is a PBE calculation of an optimized crystal structure of CeSc2Be, from the Alexandria database.

abc: 3.1451 3.1451 32.4589
angles: 90.00 90.00 120.00
Space group R-3m (No. 166, hexagonal axes)
One atom of each set of equivalent atoms:
Ce  0.0000  0.0000  0.0000 (multiplicity 3)
Sc  0.0000  0.0000  0.4164 (multiplicity 6)
Be  0.0000  0.0000  0.5000 (multiplicity 3)

## Properties
Excess energy over the best structure of this formula in the dataset = 0.5980 eV per atom
Density of states at the Fermi level = 1.477 states/eV/atom
Crystal system = trigonal
Energy of formation = 0.635 eV per atom

***

Record 2
The following is a PBE calculation of an optimized crystal structure of CeScBe4, from the Alexandria database.

abc: 6.929 6.929 6.929
angles: 90.00 90.00 90.00
Space group F-43m (No. 216)
One atom of each set of equivalent atoms:
Ce  0.000  0.000  0.000 (multiplicity 4)
Sc  0.250  0.250  0.750 (multiplicity 4)
Be  0.123  0.123  0.377 (multiplicity 16)

## Properties
Density of states at the Fermi level = 0.703 states/eV/atom
Crystal system = cubic
Energy of formation = 0.034 eV per atom

***

Record 3
The following is a PBE calculation of an optimized crystal structure of CeScBe17, from the Alexandria database.

abc: 7.6735 7.6735 11.1903
angles: 90.00 90.00 120.00
Space group R3m (No. 160, hexagonal axes)
One atom of each set of equivalent atoms:
Ce  0.0000  0.0000  0.0000 (multiplicity 3)
Sc  0.0000  0.0000  0.6786 (multiplicity 3)
Be  0.0000  0.0000  0.2464 (multiplicity 3)
Be  0.0000  0.0000  0.4382 (multiplicity 3)
Be  0.0017  0.2818  0.3414 (multiplicity 18)
Be  0.0068  0.5034  0.1809 (multiplicity 9)
Be  0.1671  0.3343  0.1752 (multiplicity 9)
Be  0.1674  0.3348  0.8328 (multiplicity 9)

## Properties
Density of states at the Fermi level = 0.272 states/eV/atom
Crystal system = trigonal
Energy of formation = -0.115 eV per atom

***

Record 4
The following is a PBE calculation of an optimized crystal structure of CeScBeZn, from the Alexandria database.

abc: 6.824 6.824 6.824
angles: 90.00 90.00 90.00
Space group F-43m (No. 216)
One atom of each set of equivalent atoms:
Ce  0.000  0.000  0.000 (multiplicity 4)
Sc  0.000  0.000  0.500 (multiplicity 4)
Be  0.250  0.250  0.750 (multiplicity 4)
Zn  0.250  0.250  0.250 (multiplicity 4)

## Properties
Density of states at the Fermi level = 1.599 states/eV/atom
Crystal system = cubic
Energy of formation = -0.049 eV per atom

***

Record 5
The following is a PBE calculation of an optimized crystal structure of CeBeSe2, from the Alexandria database.

abc: 3.7017 3.7017 24.0544
angles: 90.00 90.00 120.00
Space group R-3m (No. 166, hexagonal axes)
One atom of each set of equivalent atoms:
Ce  0.0000  0.0000  0.0000 (multiplicity 3)
Be  0.0000  0.0000  0.5000 (multiplicity 3)
Se  0.0000  0.0000  0.1141 (multiplicity 6)

## Properties
Density of states at the Fermi level = 0.744 states/eV/atom
Crystal system = trigonal
Raw formation energy = -132.2 kJ/mol of formula units

***

Record 6
The following is a PBE calculation of an optimized crystal structure of Ce3BeSe6, from the Alexandria database.

abc: 11.378 13.960 6.747
angles: 90.00 90.00 90.00
Space group Cmc2_1 (No. 36)
One atom of each set of equivalent atoms:
Ce  0.000  0.110  0.000 (multiplicity 4)
Ce  0.178  0.397  0.913 (multiplicity 8)
Be  0.000  0.302  0.364 (multiplicity 4)
Se  0.000  0.281  0.703 (multiplicity 4)
Se  0.000  0.455  0.240 (multiplicity 4)
Se  0.160  0.239  0.215 (multiplicity 8)
Se  0.161  0.027  0.705 (multiplicity 8)

## Properties
Density of states at the Fermi level = 1.638 states/eV/atom
Crystal system = orthorhombic
Raw formation energy = -1490.9 kJ/mol of formula units

***

Record 7
The following is a PBE calculation of an optimized crystal structure of CeBe2Si, from the Alexandria database.

abc: 3.8066 3.8066 14.8164
angles: 90.00 90.00 120.00
Space group R-3m (No. 166, hexagonal axes)
One atom of each set of equivalent atoms:
Ce  0.0000  0.0000  0.0000 (multiplicity 3)
Be  0.0000  0.0000  0.2026 (multiplicity 6)
Si  0.0000  0.0000  0.5000 (multiplicity 3)

## Properties
Density of states at the Fermi level = 0.966 states/eV/atom
Crystal system = trigonal
Raw formation energy = -80.0 kJ/mol of formula units

***

Record 8
The following is a PBE calculation of an optimized crystal structure of Ce2Be2Si3, from the Alexandria database.

abc: 4.021 18.324 6.677
angles: 90.00 90.00 90.00
Space group Cmcm (No. 63)
One atom of each set of equivalent atoms:
Ce  0.000  0.046  0.250 (multiplicity 4)
Ce  0.000  0.172  0.750 (multiplicity 4)
Be  0.000  0.335  0.593 (multiplicity 8)
Si  0.000  0.206  0.250 (multiplicity 4)
Si  0.000  0.438  0.074 (multiplicity 8)

## Properties
Density of states at the Fermi level = 1.259 states/eV/atom
Crystal system = orthorhombic
Raw formation energy = -309.7 kJ/mol of formula units

***

Number 2 is which compound?
CeScBe4